{"formula": "LiTl2Os", "functional": "PBE-GGA", "state": "relaxed", "lattice_angstrom": [[0.0000, 3.3922, 3.3922], [3.3922, 0.0000, 3.3922], [3.3922, 3.3922, 0.0000]], "species": ["Li", "Tl", "Os", "Tl"], "frac_coords": [[0.5000, 0.5000, 0.5000], [0.0000, 0.0000, 0.0000], [0.2500, 0.2500, 0.2500], [0.7500, 0.7500, 0.7500]], "m_tot_mub_per_fu": 0.1, "energy_ev_per_atom": -3.664, "density_g_cm3": 12.888, "spacegroup": "No. 216"}

=====

{"formula": "GaAg2", "functional": "PBE-GGA", "state": "relaxed", "lattice_angstrom": [[0.0000, 3.9038, 3.9038], [3.9038, 0.0000, 3.9038], [3.9038, 3.9038, 0.0000]], "species": ["Ag", "Ag", "Ag", "Ag", "Ga", "Ga"], "frac_coords": [[0.6250, 0.6250, 0.1250], [0.1250, 0.6250, 0.6250], [0.6250, 0.6250, 0.6250], [0.6250, 0.1250, 0.6250], [0.2500, 0.2500, 0.2500], [0.0000, 0.0000, 0.0000]], "energy_ev_per_atom": -2.737, "density_g_cm3": 7.968, "spacegroup": "No. 227"}

=====

{"formula": "SrLiReOs", "functional": "PBE-GGA", "state": "relaxed", "lattice_angstrom": [[0.0000, 3.3230, 3.3230], [3.3230, 0.0000, 3.3230], [3.3230, 3.3230, 0.0000]], "species": ["Li", "Os", "Sr", "Re"], "frac_coords": [[0.7500, 0.7500, 0.7500], [0.0000, 0.0000, 0.0000], [0.2500, 0.2500, 0.2500], [0.5000, 0.5000, 0.5000]], "m_tot_mub_per_fu": 2.7, "density_g_cm3": 10.657, "spacegroup": "No. 216", "e_above_lowest_polymorph_kj_per_mol_fu": 322}

=====

{"formula": "Y4Sc2Co3N3", "functional": "PBE-GGA", "state": "relaxed", "lattice_angstrom": [[5.0297, -2.8982, 0.0000], [5.0297, 2.8982, 0.0000], [-3.3267, 0.0000, 13.6320]], "species": ["Y", "N", "Sc", "N", "Sc", "Sc", "Co", "Co", "N", "N", "Sc", "Co", "Co", "Y", "Y", "N", "Y", "Y", "Co", "Y", "Co", "Y", "Y", "N"], "frac_coords": [[0.1992, 0.0349, 0.5989], [0.8014, 0.3494, 0.5004], [0.5334, 0.3744, 0.6016], [0.6506, 0.1986, 0.9996], [0.4666, 0.6256, 0.3984], [0.3744, 0.5334, 0.1016], [0.0765, 0.9235, 0.7500], [0.4179, 0.1019, 0.2504], [0.0000, 0.5000, 0.0000], [0.5000, 0.0000, 0.5000], [0.6256, 0.4666, 0.8984], [0.1019, 0.4179, 0.7504], [0.8981, 0.5821, 0.2496], [0.8662, 0.7018, 0.5989], [0.1338, 0.2982, 0.4011], [0.1986, 0.6506, 0.4996], [0.7018, 0.8662, 0.0989], [0.9651, 0.8008, 0.9011], [0.9235, 0.0765, 0.2500], [0.8008, 0.9651, 0.4011], [0.5821, 0.8981, 0.7496], [0.2982, 0.1338, 0.9011], [0.0349, 0.1992, 0.0989], [0.3494, 0.8014, 0.0004]], "m_tot_mub_per_fu": 0.7, "energy_ev_per_atom": -7.691, "density_g_cm3": 5.552, "spacegroup": "No. 15"}

=====

{"formula": "CsErO3", "functional": "PBE-GGA", "state": "relaxed", "lattice_angstrom": [[3.6331, 0.0000, 0.0000], [0.0000, 3.6331, 0.0000], [0.0000, 0.0000, 6.9452]], "species": ["O", "Er", "O", "Cs", "O"], "frac_coords": [[0.0000, 0.5000, 0.7436], [0.0000, 0.0000, 0.9140], [0.5000, 0.5000, 0.0563], [0.5000, 0.5000, 0.4425], [0.5000, 0.0000, 0.7436]], "m_tot_mub_per_fu": 2.0, "energy_ev_per_atom": -5.659, "density_g_cm3": 6.307, "spacegroup": "No. 99"}

=====

{"formula": "Sr2Tb2O5", "functional": "PBE-GGA", "state": "relaxed", "lattice_angstrom": [[9.0702, 0.0000, 0.0000], [0.0000, 4.1715, 0.0000], [0.0000, 0.0000, 4.1715]], "species": ["Tb", "O", "O", "O", "Sr", "Tb", "O", "O", "Sr"], "frac_coords": [[0.5000, 0.0000, 0.0000], [0.1409, 0.5000, 0.0000], [0.1409, 0.0000, 0.5000], [0.5000, 0.5000, 0.5000], [0.7639, 0.5000, 0.5000], [0.0000, 0.0000, 0.0000], [0.8591, 0.0000, 0.5000], [0.8591, 0.5000, 0.0000], [0.2361, 0.5000, 0.5000]], "m_tot_mub_per_fu": 0.2, "density_g_cm3": 6.029, "spacegroup": "No. 123", "e_above_lowest_polymorph_kj_per_mol_fu": 769}

=====

{"formula": "LaPrPb2", "functional": "PBE-GGA", "state": "relaxed", "lattice_angstrom": [[-3.8443, 2.4336, -0.2284], [-1.7048, -2.1387, 5.9057], [0.8358, 1.8994, 6.1686]], "species": ["Pr", "La", "Pb", "Pb"], "frac_coords": [[0.5000, 0.3673, 0.3673], [0.0000, 0.6332, 0.6332], [0.0000, 0.9051, 0.9051], [0.5000, 0.0944, 0.0944]], "m_tot_mub_per_fu": 0.0, "energy_ev_per_atom": -4.872, "density_g_cm3": 8.748, "spacegroup": "No. 38"}

=====

{"formula": "ZrAlNO", "functional": "PBE-GGA", "state": "relaxed", "lattice_angstrom": [[-3.0208, -0.1213, -1.3119], [1.8907, -1.6228, -4.2034], [-0.6222, -5.8331, 1.9721]], "species": ["Al", "Al", "Zr", "O", "N", "O", "Zr", "N"], "frac_coords": [[0.0000, 0.5007, 0.3502], [0.0000, 0.0007, 0.6498], [0.5000, 0.9412, 0.1436], [0.5000, 0.9219, 0.7653], [0.0000, 0.3902, 0.6356], [0.5000, 0.4219, 0.2347], [0.5000, 0.4412, 0.8564], [0.0000, 0.8902, 0.3644]], "m_tot_mub_per_fu": 0.0, "density_g_cm3": 4.939, "spacegroup": "No. 26", "e_above_lowest_polymorph_kj_per_mol_fu": 43}

=====

{"formula": "InPtAu3Se4", "functional": "PBE-GGA", "state": "relaxed", "lattice_angstrom": [[6.1586, 0.0000, 0.0000], [0.0000, 6.1586, 0.0000], [0.0000, 0.0000, 6.1586]], "species": ["Au", "Se", "In", "Pt", "Au", "Se", "Se", "Se", "Au"], "frac_coords": [[0.5000, 0.0000, 0.5000], [0.2553, 0.7447, 0.7447], [0.0000, 0.0000, 0.0000], [0.5000, 0.5000, 0.5000], [0.0000, 0.5000, 0.5000], [0.7447, 0.7447, 0.2553], [0.7447, 0.2553, 0.7447], [0.2553, 0.2553, 0.2553], [0.5000, 0.5000, 0.0000]], "m_tot_mub_per_fu": 0.0, "energy_ev_per_atom": -3.538, "density_g_cm3": 8.649, "spacegroup": "No. 215"}

=====

{"formula": "RbReGeS5", "functional": "PBE-GGA", "state": "relaxed", "lattice_angstrom": [[-1.6260, 1.7226, -6.2112], [-5.5341, -4.5344, -1.4139], [-8.1310, 4.2575, 1.5091]], "species": ["Ge", "S", "Ge", "S", "S", "S", "Re", "S", "S", "S", "S", "S", "S", "Re", "Rb", "Rb"], "frac_coords": [[0.9770, 0.7038, 0.3761], [0.7930, 0.0929, 0.7218], [0.0230, 0.2962, 0.6239], [0.9408, 0.2612, 0.9882], [0.2070, 0.9071, 0.2782], [0.9330, 0.6095, 0.6389], [0.2140, 0.0004, 0.0027], [0.0670, 0.3905, 0.3611], [0.3086, 0.1205, 0.7188], [0.0592, 0.7388, 0.0118], [0.4533, 0.1991, 0.0215], [0.5467, 0.8009, 0.9785], [0.6914, 0.8795, 0.2812], [0.7860, 0.9996, 0.9973], [0.4084, 0.6366, 0.7113], [0.5916, 0.3634, 0.2887]], "m_tot_mub_per_fu": 0.5, "energy_ev_per_atom": -5.344, "density_g_cm3": 4.079, "spacegroup": "No. 2"}

=====

{"formula": "CsAgTePbS2", "functional": "PBE-GGA", "state": "relaxed", "lattice_angstrom": [[5.3703, 2.7660, 6.3708], [-7.2962, 0.3606, -4.8695], [-5.4996, -7.0923, 7.7151]], "species": ["Te", "Cs", "S", "Ag", "Ag", "S", "Pb", "S", "Pb", "Te", "Cs", "S"], "frac_coords": [[0.5680, 0.4320, 0.2500], [0.7362, 0.2638, 0.7500], [0.8905, 0.1095, 0.0567], [0.9469, 0.0531, 0.2500], [0.0531, 0.9469, 0.7500], [0.1095, 0.8905, 0.9433], [0.5000, 0.5000, 0.5000], [0.8905, 0.1095, 0.4433], [0.5000, 0.5000, 0.0000], [0.4320, 0.5680, 0.7500], [0.2638, 0.7362, 0.2500], [0.1095, 0.8905, 0.5567]], "energy_ev_per_atom": -3.474, "density_g_cm3": 5.291, "spacegroup": "No. 63"}

=====

{"formula": "Pr2Sm2CI2Br2Cl", "functional": "PBE-GGA", "state": "relaxed", "lattice_angstrom": [[-6.0505, -5.3910, 5.4403], [-2.5571, -7.1945, 6.0801], [2.1880, 6.0811, 5.1954]], "species": ["Pr", "C", "Cl", "Br", "Sm", "Sm", "Br", "I", "I", "Pr"], "frac_coords": [[0.0000, 0.0000, 0.7861], [0.5000, 0.5000, 0.0000], [0.5000, 0.5000, 0.5000], [0.8386, 0.8386, 0.6614], [0.6336, 0.6336, 0.0725], [0.3664, 0.3664, 0.9275], [0.1614, 0.1614, 0.3386], [0.8278, 0.8278, 0.1873], [0.1722, 0.1722, 0.8127], [0.0000, 0.0000, 0.2139]], "m_tot_mub_per_fu": 0.1, "density_g_cm3": 5.634, "spacegroup": "No. 12", "e_above_lowest_polymorph_kj_per_mol_fu": 0}

=====

{"formula": "AlFe3", "functional": "PBE-GGA", "state": "relaxed", "lattice_angstrom": [[4.0957, 0.6180, -1.3315], [1.8220, 2.6864, 2.8971], [-2.1873, -3.7067, 0.6370]], "species": ["Fe", "Fe", "Fe", "Al"], "frac_coords": [[0.7500, 0.2500, 0.5000], [0.2500, 0.7500, 0.5000], [0.5000, 0.5000, 0.0000], [0.0000, 0.0000, 0.0000]], "m_tot_mub_per_fu": 6.5, "energy_ev_per_atom": -7.339, "density_g_cm3": 6.796, "spacegroup": "No. 139"}

=====

{"formula": "KLuPt", "functional": "PBE-GGA", "state": "relaxed", "lattice_angstrom": [[0.0000, 3.4973, 3.4973], [3.4973, 0.0000, 3.4973], [3.4973, 3.4973, 0.0000]], "species": ["Lu", "Pt", "K"], "frac_coords": [[0.7500, 0.7500, 0.7500], [0.0000, 0.0000, 0.0000], [0.2500, 0.2500, 0.2500]], "m_tot_mub_per_fu": 0.0, "density_g_cm3": 7.942, "spacegroup": "No. 216", "e_above_lowest_polymorph_kj_per_mol_fu": 0}

=====

{"formula": "ErLu6Pd2Se2", "functional": "PBE-GGA", "state": "relaxed", "lattice_angstrom": [[-1.9099, 7.4621, 4.6131], [1.9099, -7.4621, 4.6131], [1.9099, 7.4621, -4.6131]], "species": ["Se", "Se", "Lu", "Pd", "Pd", "Lu", "Lu", "Lu", "Lu", "Er", "Lu"], "frac_coords": [[0.3366, 0.3366, 0.0000], [0.7333, 0.2333, 0.5000], [0.3755, 0.7385, 0.6370], [0.3097, 0.0706, 0.2390], [0.8316, 0.0706, 0.7610], [0.6893, 0.3715, 0.3178], [0.0538, 0.3715, 0.6822], [0.4592, 0.5820, 0.8773], [0.1015, 0.7385, 0.3630], [0.9914, 0.9914, 0.0000], [0.7047, 0.5820, 0.1227]], "m_tot_mub_per_fu": 0.0, "energy_ev_per_atom": -5.439, "density_g_cm3": 10.026, "spacegroup": "No. 44"}

=====

{"formula": "CdAu", "functional": "PBE-GGA", "state": "relaxed", "lattice_angstrom": [[0.0000, 2.8113, 2.8113], [2.8113, 0.0000, 2.8113], [2.8113, 2.8113, 0.0000]], "species": ["Cd", "Au"], "frac_coords": [[0.5000, 0.5000, 0.5000], [0.0000, 0.0000, 0.0000]], "energy_ev_per_atom": -2.122, "density_g_cm3": 11.560, "spacegroup": "No. 225"}

=====

{"formula": "Zr2PIBr", "functional": "PBE-GGA", "state": "relaxed", "lattice_angstrom": [[-0.6509, -0.3207, 3.8110], [-2.4767, -1.5846, -2.5309], [5.3675, -8.6859, 0.1859]], "species": ["I", "Zr", "P", "Br", "Zr"], "frac_coords": [[0.6667, 0.3333, 0.6789], [0.6667, 0.3333, 0.1283], [0.0000, 0.0000, 0.0047], [0.3333, 0.6667, 0.3077], [0.3333, 0.6667, 0.8804]], "m_tot_mub_per_fu": 0.0, "energy_ev_per_atom": -6.411, "density_g_cm3": 5.242, "spacegroup": "No. 156"}

=====

{"formula": "Dy2YAl7Ag2", "functional": "PBE-GGA", "state": "relaxed", "lattice_angstrom": [[2.7747, 1.6020, 8.7748], [-2.7747, 1.6020, 8.7748], [0.0000, -3.2039, 8.7748]], "species": ["Al", "Al", "Al", "Ag", "Al", "Dy", "Y", "Al", "Al", "Ag", "Al", "Dy"], "frac_coords": [[0.9242, 0.4121, 0.4120], [0.4120, 0.4120, 0.9242], [0.0758, 0.5879, 0.5880], [0.3358, 0.3358, 0.3358], [0.5000, 0.5000, 0.5000], [0.1423, 0.1423, 0.1423], [0.0000, 0.0000, 0.0000], [0.4121, 0.9242, 0.4120], [0.5879, 0.0758, 0.5880], [0.6642, 0.6642, 0.6642], [0.5880, 0.5880, 0.0758], [0.8577, 0.8577, 0.8577]], "m_tot_mub_per_fu": 0.0, "energy_ev_per_atom": -4.420, "density_g_cm3": 5.808, "spacegroup": "No. 166"}

=====

{"formula": "Tl2NiB", "functional": "PBE-GGA", "state": "relaxed", "lattice_angstrom": [[-2.5032, -3.7683, -1.4759], [0.9155, -4.3134, 1.7890], [-3.1262, -2.0743, 2.9271]], "species": ["Ni", "B", "Tl", "Tl"], "frac_coords": [[0.0000, 0.0000, 0.0000], [0.7500, 0.7500, 0.7500], [0.5000, 0.5000, 0.5000], [0.2500, 0.2500, 0.2500]], "m_tot_mub_per_fu": 0.0, "energy_ev_per_atom": -2.971, "density_g_cm3": 10.424, "spacegroup": "No. 216"}

=====

{"formula": "TbGdP2Ir2Se2", "functional": "PBE-GGA", "state": "relaxed", "lattice_angstrom": [[4.0164, 0.0000, 0.0000], [0.0000, 4.0164, 0.0000], [0.0000, 0.0000, 9.4130]], "species": ["Tb", "Se", "Gd", "P", "Ir", "Se", "P", "Ir"], "frac_coords": [[0.0000, 0.0000, 0.2375], [0.0000, 0.5000, 0.0015], [0.5000, 0.5000, 0.7632], [0.5000, 0.5000, 0.3524], [0.0000, 0.5000, 0.4989], [0.5000, 0.0000, 0.0015], [0.0000, 0.0000, 0.6462], [0.5000, 0.0000, 0.4989]], "m_tot_mub_per_fu": 0.0, "energy_ev_per_atom": -6.611, "density_g_cm3": 10.066, "spacegroup": "No. 99"}

=====

{"formula": "Na2ZrInSe4", "functional": "PBE-GGA", "state": "relaxed", "lattice_angstrom": [[-1.4306, -6.9236, -2.4636], [-0.8334, -3.7446, 6.4293], [-3.4989, 6.3036, -2.0184]], "species": ["Na", "Zr", "Se", "In", "Se", "Se", "Na", "Se"], "frac_coords": [[0.7500, 0.2500, 0.5000], [0.2500, 0.7500, 0.5000], [0.3487, 0.8672, 0.9534], [0.0000, 0.0000, 0.0000], [0.6047, 0.6513, 0.5185], [0.9138, 0.3953, 0.0466], [0.5000, 0.5000, 0.0000], [0.1328, 0.0862, 0.4815]], "m_tot_mub_per_fu": 0.0, "energy_ev_per_atom": -4.428, "density_g_cm3": 3.630, "spacegroup": "No. 82"}

=====

{"formula": "LaPr2Pt", "functional": "PBE-GGA", "state": "relaxed", "lattice_angstrom": [[7.3114, 0.0000, 0.0000], [0.0000, 10.1920, 0.0000], [0.0000, 0.0000, 6.7392]], "species": ["Pt", "Pt", "Pr", "Pr", "La", "La", "La", "Pr", "La", "Pt", "Pr", "Pr", "Pt", "Pr", "Pr", "Pr"], "frac_coords": [[0.6211, 0.7500, 0.4366], [0.3789, 0.2500, 0.5634], [0.6761, 0.4373, 0.6710], [0.8239, 0.5627, 0.1710], [0.0280, 0.2500, 0.3566], [0.5280, 0.2500, 0.1434], [0.9720, 0.7500, 0.6434], [0.6761, 0.0627, 0.6710], [0.4720, 0.7500, 0.8566], [0.8789, 0.2500, 0.9366], [0.1761, 0.0627, 0.8290], [0.8239, 0.9373, 0.1710], [0.1211, 0.7500, 0.0634], [0.3239, 0.9373, 0.3290], [0.3239, 0.5627, 0.3290], [0.1761, 0.4373, 0.8290]], "m_tot_mub_per_fu": 0.0, "energy_ev_per_atom": -5.754, "density_g_cm3": 8.145, "spacegroup": "No. 62"}

=====

{"formula": "Na4AlGa2Ag", "functional": "PBE-GGA", "state": "relaxed", "lattice_angstrom": [[4.8556, 0.0000, 0.0000], [0.0000, 4.8556, 0.0000], [0.0000, 0.0000, 7.0471]], "species": ["Al", "Na", "Ag", "Na", "Na", "Ga", "Ga", "Na"], "frac_coords": [[0.5000, 0.5000, 0.5000], [0.5000, 0.0000, 0.7574], [0.0000, 0.0000, 0.0000], [0.0000, 0.0000, 0.5000], [0.5000, 0.5000, 0.0000], [0.0000, 0.5000, 0.7419], [0.5000, 0.0000, 0.2581], [0.0000, 0.5000, 0.2426]], "energy_ev_per_atom": -2.246, "density_g_cm3": 3.660, "spacegroup": "No. 115"}

=====

{"formula": "CsTb2CuTe3S", "functional": "PBE-GGA", "state": "relaxed", "lattice_angstrom": [[2.1338, -7.6215, 0.0000], [2.1338, 7.6215, 0.0000], [0.0000, 0.0000, 15.5000]], "species": ["Tb", "S", "Te", "Tb", "Te", "Cu", "Cs", "Tb", "Cs", "Te", "Te", "S", "Te", "Cu", "Tb", "Te"], "frac_coords": [[0.6174, 0.3826, 0.0588], [0.0000, 0.0000, 0.5000], [0.2540, 0.7460, 0.3960], [0.3826, 0.6174, 0.9412], [0.4334, 0.5666, 0.7500], [0.8353, 0.1647, 0.7500], [0.1213, 0.8787, 0.7500], [0.3826, 0.6174, 0.5588], [0.8787, 0.1213, 0.2500], [0.7460, 0.2540, 0.6040], [0.2540, 0.7460, 0.1040], [0.0000, 0.0000, 0.0000], [0.7460, 0.2540, 0.8960], [0.1647, 0.8353, 0.2500], [0.6174, 0.3826, 0.4412], [0.5666, 0.4334, 0.2500]], "m_tot_mub_per_fu": 0.0, "density_g_cm3": 6.121, "spacegroup": "No. 63", "e_above_lowest_polymorph_kj_per_mol_fu": 43}